# 1
A geometry-optimized Ce4Au2F structure, computed with GGA-PBE.

For the uncorrected energy, the calculation gives -5.491 eV per atom. The value obtained for the energy relative to the elements, uncorrected is -0.8970 eV per atom.

The structure belongs to space group I4/mmm (No. 139); the cell edges are 4.8713, 4.8713 and 15.3553 Å and the angles 90.00°, 90.00° and 90.00°. The asymmetric unit holds Ce at (0.0000, 0.0000, 0.1857), Ce at (0.0000, 0.5000, 0.0000), Au at (0.0000, 0.0000, 0.3710) and F at (0.0000, 0.0000, 0.0000).

# 2
A geometry-optimized BeOsRh structure, computed with GGA-PBE.

For the uncorrected energy, the calculation gives -7.430 eV per atom. Its formation energy is 6 meV per atom. The energy above the most stable polymorph in this dataset comes out at 17.4 kJ/mol of atoms.

The structure belongs to space group P3m1 (No. 156); the cell edges are 2.6895, 2.6895 and 6.0444 Å and the angles 90.00°, 90.00° and 120.00°. The asymmetric unit holds Be at (0.0000, 0.0000, 0.0000), Os at (0.6667, 0.3333, 0.3200) and Rh at (0.3333, 0.6667, 0.6902).

# 3
A geometry-optimized In2H2Cl3 structure, computed with GGA-PBE.

For the uncorrected energy, the calculation gives -3.052 eV per atom.

The structure belongs to space group P-1 (No. 2); the cell edges are 3.8116, 5.4248 and 8.8602 Å and the angles 72.71°, 89.90° and 89.92°. The asymmetric unit holds In at (0.0007, 0.1555, 0.1932), H at (0.4994, 0.8386, 0.8150), Cl at (0.0000, 0.0000, 0.5000) and Cl at (0.0005, 0.6815, 0.1412).

# 4
A geometry-optimized NpGaCuPt3 structure, computed with GGA-PBE.

For the uncorrected energy, the calculation gives -6.690 eV per atom. Its formation energy is -326 meV per atom.

The structure belongs to space group Cmcm (No. 63); the cell edges are 5.6059, 13.1333 and 5.7598 Å and the angles 90.00°, 90.00° and 90.00°. The asymmetric unit holds Np at (0.0000, 0.1733, 0.2500), Ga at (0.0000, 0.1242, 0.7500), Cu at (0.0000, 0.3759, 0.2500), Pt at (0.0000, 0.3156, 0.7500) and Pt at (0.2455, 0.5000, 0.0000).

# 5
A geometry-optimized LaCd2Ag structure, computed with GGA-PBE.

For the uncorrected energy, the calculation gives -2.420 eV per atom. Its formation energy is -17 meV per atom.

The structure belongs to space group Immm (No. 71); the cell edges are 3.4102, 5.0622 and 12.5012 Å and the angles 90.00°, 90.00° and 90.00°. The asymmetric unit holds La at (0.0000, 0.0000, 0.0000), Cd at (0.0000, 0.0000, 0.2799) and Ag at (0.0000, 0.0000, 0.5000).

# 6
A geometry-optimized Tc3Pt4 structure, computed with GGA-PBE.

For the uncorrected energy, the calculation gives -7.855 eV per atom. Its formation energy is 40 meV per atom. The energy above the most stable polymorph in this dataset comes out at 0.0 kJ/mol of atoms.

The structure belongs to space group I4/mmm (No. 139); the cell edges are 3.3355, 3.3355 and 19.4235 Å and the angles 90.00°, 90.00° and 90.00°. The asymmetric unit holds Tc at (0.0000, 0.0000, 0.0000), Tc at (0.0000, 0.0000, 0.2830), Pt at (0.0000, 0.0000, 0.1431) and Pt at (0.0000, 0.0000, 0.4297).

# 7
A geometry-optimized CeZnSn2 structure, computed with GGA-PBE.

For the uncorrected energy, the calculation gives -3.670 eV per atom. Its formation energy is 133 meV per atom. The energy above the most stable polymorph in this dataset comes out at 57.2 kJ/mol of atoms.

The structure belongs to space group R-3m (No. 166, hexagonal axes); the cell edges are 3.3459, 3.3459 and 32.2857 Å and the angles 90.00°, 90.00° and 120.00°. The asymmetric unit holds Ce at (0.0000, 0.0000, 0.0000), Zn at (0.0000, 0.0000, 0.5000) and Sn at (0.0000, 0.0000, 0.0992).

# 8
A geometry-optimized RhPb2F6 structure, computed with GGA-PBE.

For the uncorrected energy, the calculation gives -4.791 eV per atom. The value obtained for the energy relative to the elements, uncorrected is -1.9023 eV per atom.

The structure belongs to space group P4_2/mnm (No. 136); the cell edges are 5.4329, 5.4329 and 11.2311 Å and the angles 90.00°, 90.00° and 90.00°. The asymmetric unit holds Rh at (0.0000, 0.0000, 0.0000), Pb at (0.0000, 0.0000, 0.3346), F at (0.1800, 0.1800, 0.1596) and F at (0.2339, 0.2339, 0.5000).

# 9
A geometry-optimized ZrCr2Te structure, computed with GGA-PBE.

For the uncorrected energy, the calculation gives -7.176 eV per atom. The value obtained for the energy relative to the elements, uncorrected is 0.5578 eV per atom.

The structure belongs to space group I-42d (No. 122); the cell edges are 7.6254, 7.6254 and 5.7757 Å and the angles 90.00°, 90.00° and 90.00°. The asymmetric unit holds Zr at (0.0000, 0.0000, 0.0000), Cr at (0.2302, 0.2500, 0.6250) and Te at (0.0000, 0.0000, 0.5000).

# 10
A geometry-optimized ErAgS2 structure, computed with GGA-PBE.

For the uncorrected energy, the calculation gives -5.082 eV per atom. The value obtained for the energy relative to the elements, uncorrected is -1.1649 eV per atom.

The structure belongs to space group P3m1 (No. 156); the cell edges are 4.5504, 4.5504 and 5.5074 Å and the angles 90.00°, 90.00° and 120.00°. The asymmetric unit holds Er at (0.0000, 0.0000, 0.0000), Ag at (0.6667, 0.3333, 0.4014), S at (0.0000, 0.0000, 0.4720) and S at (0.6667, 0.3333, 0.9275).

# 11
A geometry-optimized AlSiRh2 structure, computed with GGA-PBE.

For the uncorrected energy, the calculation gives -6.643 eV per atom. The value obtained for the energy relative to the elements, uncorrected is -0.6761 eV per atom.

The structure belongs to space group C2/m (No. 12); the cell edges are 7.9007, 2.8926 and 4.9773 Å and the angles 90.00°, 102.47° and 90.00°. The asymmetric unit holds Al at (0.0000, 0.0000, 0.0000), Si at (0.0000, 0.5000, 0.5000) and Rh at (0.2440, 0.0000, 0.7411).

# 12
A geometry-optimized AcPu2Si6 structure, computed with GGA-PBE.

For the uncorrected energy, the calculation gives -7.684 eV per atom. The value obtained for the energy relative to the elements, uncorrected is -0.4268 eV per atom. The energy above the most stable polymorph in this dataset comes out at 0.0 kJ/mol of atoms.

The structure belongs to space group P6/mmm (No. 191); the cell edges are 7.1230, 7.1230 and 4.1690 Å and the angles 90.00°, 90.00° and 120.00°. The asymmetric unit holds Ac at (0.0000, 0.0000, 0.0000), Pu at (0.3333, 0.6667, 0.0000) and Si at (0.0000, 0.3385, 0.5000).

# 13
A geometry-optimized ScTlSb2 structure, computed with GGA-PBE.

For the uncorrected energy, the calculation gives -4.455 eV per atom. The value obtained for the energy relative to the elements, uncorrected is -0.2192 eV per atom. The energy above the most stable polymorph in this dataset comes out at 13.8 kJ/mol of atoms.

The structure belongs to space group I4/mmm (No. 139); the cell edges are 4.7970, 4.7970 and 9.0477 Å and the angles 90.00°, 90.00° and 90.00°. The asymmetric unit holds Sc at (0.0000, 0.0000, 0.0000), Tl at (0.0000, 0.0000, 0.5000) and Sb at (0.0000, 0.5000, 0.2500).